A geometry-optimized DyYBeRh structure. Source: Alexandria via LeMat-Bulk, functional GGA-PBE.

Values from the calculation:
Raw total energy = -5.9072 eV/atom
Total magnetization = 0.00 Bohr magnetons per cell
Symmetry = No. 216

Unit cell a=4.855 b=4.855 c=4.855 alpha=60.00 beta=60.00 gamma=60.00
Sites, in units of the cell vectors:
Y1 0.000 0.000 0.000
Be1 0.250 0.250 0.250
Rh1 0.750 0.750 0.750
Dy1 0.500 0.500 0.500